Compound: LaAu2Cl
Source: Alexandria
Functional: meta-GGA SCAN
Structure: PBEsol geometry

abc: 3.9846 3.9846 5.3720
angles: 90.00 90.00 90.00
Sites, in units of the cell vectors:
Cl  0.5000  0.5000  0.5000
Au  0.0000  0.5000  0.0000
Au  0.5000  0.0000  0.0000
La  0.0000  0.0000  0.5000

Results
Calculated density, g cm⁻³: 11.1
Spin magnetization, μB per formula unit: 0.0
ΔE_f (raw), eV per atom: -1.108
N(E_F), states/eV per atom: 0.422


Compound: ZnH8SO8
Source: Alexandria
Functional: meta-GGA SCAN
Structure: PBEsol geometry

abc: 5.6904 7.7530 13.8126
angles: 90.00 90.00 86.65
Sites, in units of the cell vectors:
Zn  0.9299  0.7762  0.1091
Zn  0.5701  0.7238  0.6091
Zn  0.0701  0.2238  0.8909
Zn  0.4299  0.2762  0.3909
H  0.0742  0.4393  0.0961
H  0.4258  0.0607  0.5961
H  0.9258  0.5607  0.9039
H  0.5742  0.9393  0.4039
H  0.1898  0.5217  0.1902
H  0.3102  0.9783  0.6902
H  0.8102  0.4783  0.8098
H  0.6898  0.0217  0.3098
H  0.6090  0.5375  0.0905
H  0.8910  0.9625  0.5905
H  0.3910  0.4625  0.9095
H  0.1090  0.0375  0.4095
H  0.5515  0.6779  0.0072
H  0.9485  0.8221  0.5072
H  0.4485  0.3221  0.9928
H  0.0515  0.1779  0.4928
H  0.2617  0.9605  0.0604
H  0.6591  0.7276  0.2634
H  0.7383  0.0395  0.9396
H  0.7617  0.4605  0.4396
H  0.3704  0.8117  0.1266
H  0.1296  0.6883  0.6266
H  0.6296  0.1883  0.8734
H  0.8704  0.3117  0.3734
H  0.9131  0.7813  0.3040
H  0.5869  0.7187  0.8040
H  0.0869  0.2187  0.6960
H  0.4131  0.2813  0.1960
H  0.1591  0.2276  0.2366
H  0.3409  0.2724  0.7366
H  0.8409  0.7724  0.7634
H  0.2383  0.5395  0.5604
S  0.8081  0.1844  0.1092
S  0.6919  0.3156  0.6092
S  0.1919  0.8156  0.8908
S  0.3081  0.6844  0.3908
O  0.8018  0.7919  0.2478
O  0.6982  0.7081  0.7478
O  0.1982  0.2081  0.7522
O  0.3018  0.2919  0.2522
O  0.1252  0.5499  0.1253
O  0.7616  0.0988  0.8767
O  0.2616  0.5988  0.6233
O  0.2384  0.9012  0.1233
O  0.5899  0.3036  0.1000
O  0.9101  0.1964  0.6000
O  0.4101  0.6964  0.9000
O  0.0899  0.8036  0.4000
O  0.8779  0.1698  0.2110
O  0.6221  0.3302  0.7110
O  0.1221  0.8302  0.7890
O  0.3779  0.6698  0.2890
O  0.1160  0.1625  0.4254
O  0.3840  0.3375  0.9254
O  0.8840  0.8375  0.5746
O  0.6160  0.6625  0.0746
O  0.9999  0.2568  0.0505
O  0.5001  0.2432  0.5505
O  0.0001  0.7432  0.9495
O  0.4999  0.7568  0.4495
O  0.7522  0.0132  0.0680
O  0.7478  0.4868  0.5680
O  0.2478  0.9868  0.9320
O  0.2522  0.5132  0.4320
O  0.6252  0.0499  0.3747
O  0.8748  0.4501  0.8747
O  0.3748  0.9501  0.6253
O  0.7384  0.4012  0.3767

Results
Calculated density, g cm⁻³: 2.5
Spin magnetization, μB per formula unit: 0.0
Total DFT energy (no corrections), eV/atom: -6.85
N(E_F), states/eV per atom: 0.000


Compound: K3InB
Source: Alexandria
Functional: meta-GGA SCAN
Structure: PBEsol geometry

abc: 5.9578 5.9578 5.9578
angles: 90.00 90.00 90.00
Sites, in units of the cell vectors:
K  0.0000  0.5000  0.0000
K  0.0000  0.0000  0.5000
K  0.5000  0.0000  0.0000
B  0.0000  0.0000  0.0000
In  0.5000  0.5000  0.5000

Results
Calculated density, g cm⁻³: 1.9
Spin magnetization, μB per formula unit: 1.0
Formation enthalpy at 0 K, eV/atom: 0.7554
N(E_F), states/eV per atom: 0.691